one:
Computed, not measured: a relaxed structure of NaTaBi2 at the GGA-PBE level of DFT.

a = 5.1848 Å, b = 5.1848 Å, c = 5.1848 Å
α = 60.00°, β = 60.00°, γ = 60.00°
Closest atoms and distances in Å follow each position.
Sites, in units of the cell vectors:
Na1 0.0000 0.0000 0.0000  8 Bi 3.18
Ta1 0.5000 0.5000 0.5000  8 Bi 3.18
Bi1 0.2500 0.2500 0.2500  4 Ta 3.18, 4 Na 3.18
Bi2 0.7500 0.7500 0.7500  4 Ta 3.18, 4 Na 3.18

Calculated values
space group	Fm-3m (225)
D(E_F)	3.7	states/eV/cell

=====

two:
Computed, not measured: a relaxed structure of NaTaBi2 at the GGA-PBE level of DFT.

a = 8.0115 Å, b = 8.0115 Å, c = 8.0115 Å
α = 126.29°, β = 126.29°, γ = 79.41°
Closest atoms and distances in Å follow each position.
Sites, in units of the cell vectors:
Na1 0.0000 0.0000 0.0000  4 Bi 3.28
Na2 0.7500 0.2500 0.5000  4 Bi 3.28
Ta1 0.2500 0.7500 0.5000  4 Bi 2.74
Ta2 0.5000 0.5000 0.0000  4 Bi 2.74
Bi1 0.1866 0.6250 0.0616  2 Ta 2.74
Bi2 0.3750 0.4366 0.5616  2 Ta 2.74
Bi3 0.5634 0.1250 0.9384  2 Ta 2.74
Bi4 0.8750 0.8134 0.4384  2 Ta 2.74

Calculated values
space group	I-42d (122)
D(E_F)	0.0	states/eV/cell

=====

one has the most favorable energy; the next structure is 120 meV/atom above.

=====

one:
Computed, not measured: a relaxed structure of NaTc3Bi at the GGA-PBE level of DFT.

a = 5.1646 Å, b = 5.1646 Å, c = 5.1646 Å
α = 90.00°, β = 90.00°, γ = 90.00°
Closest atoms and distances in Å follow each position.
Sites, in units of the cell vectors:
Na1 0.0000 0.0000 0.0000  12 Tc 3.65
Tc1 0.0000 0.5000 0.5000  2 Bi 2.58
Tc2 0.5000 0.0000 0.5000  2 Bi 2.58
Tc3 0.5000 0.5000 0.0000  2 Bi 2.58
Bi1 0.5000 0.5000 0.5000  6 Tc 2.58

Calculated values
space group	Pm-3m (221)
D(E_F)	4.1	states/eV/cell

=====

two:
Computed, not measured: a relaxed structure of NaTc3Bi at the GGA-PBE level of DFT.

a = 4.6369 Å, b = 4.6369 Å, c = 4.6369 Å
α = 90.00°, β = 90.00°, γ = 90.00°
Closest atoms and distances in Å follow each position.
Sites, in units of the cell vectors:
Na1 0.0000 0.0000 0.0000  6 Tc 2.32
Tc1 0.0000 0.0000 0.5000  2 Na 2.32
Tc2 0.0000 0.5000 0.0000  2 Na 2.32
Tc3 0.5000 0.0000 0.0000  2 Na 2.32
Bi1 0.5000 0.5000 0.5000  12 Tc 3.28

Calculated values
space group	Pm-3m (221)
D(E_F)	4.8	states/eV/cell

=====

one has the most favorable energy; the next structure is 135 meV/atom above.

=====

one:
Computed, not measured: a relaxed structure of Na2Bi2Te at the GGA-PBE level of DFT.

a = 7.2153 Å, b = 7.2153 Å, c = 7.2153 Å
α = 137.34°, β = 137.34°, γ = 61.92°
Closest atoms and distances in Å follow each position.
Sites, in units of the cell vectors:
Na1 0.2500 0.7500 0.5000  4 Bi 3.12
Na2 0.7500 0.2500 0.5000  4 Bi 3.12
Bi1 0.1134 0.1134 0.0000  1 Bi 2.81, 4 Na 3.12
Bi2 0.8866 0.8866 0.0000  1 Bi 2.81, 4 Na 3.12
Te1 0.5000 0.5000 0.0000  8 Bi 3.97, 8 Na 4.06

Calculated values
space group	I4/mmm (139)
D(E_F)	3.9	states/eV/cell

=====

two:
Computed, not measured: a relaxed structure of Na2Bi2Te at the GGA-PBE level of DFT.

a = 9.5755 Å, b = 9.5755 Å, c = 3.4461 Å
α = 90.00°, β = 90.00°, γ = 90.00°
Closest atoms and distances in Å follow each position.
Sites, in units of the cell vectors:
Na1 0.1893 0.3107 0.0000  6 Bi 3.25-3.41, 2 Na 3.45, 2 Te 3.48
Na2 0.3107 0.8107 0.0000  6 Bi 3.25-3.41, 2 Na 3.45, 2 Te 3.48
Na3 0.6893 0.1893 0.0000  6 Bi 3.25-3.41, 2 Na 3.45, 2 Te 3.48
Na4 0.8107 0.6893 0.0000  6 Bi 3.25-3.41, 2 Na 3.45, 2 Te 3.48
Bi1 0.1072 0.6072 0.5000  1 Bi 2.90, 2 Na 3.25
Bi2 0.3928 0.1072 0.5000  1 Bi 2.90, 2 Na 3.25
Bi3 0.6072 0.8928 0.5000  1 Bi 2.90, 2 Na 3.25
Bi4 0.8928 0.3928 0.5000  1 Bi 2.90, 2 Na 3.25
Te1 0.0000 0.0000 0.0000  2 Te 3.45, 4 Na 3.48
Te2 0.5000 0.5000 0.0000  2 Te 3.45, 4 Na 3.48

Calculated values
space group	P4/mbm (127)
D(E_F)	3.3	states/eV/cell

=====

three:
Computed, not measured: a relaxed structure of Na2Bi2Te at the GGA-PBE level of DFT.

a = 8.3041 Å, b = 8.3041 Å, c = 4.7832 Å
α = 90.00°, β = 90.00°, γ = 90.00°
Closest atoms and distances in Å follow each position.
Sites, in units of the cell vectors:
Na1 0.1710 0.3290 0.0000  6 Bi 3.34-3.48
Na2 0.3290 0.8290 0.0000  6 Bi 3.34-3.48
Na3 0.6710 0.1710 0.0000  6 Bi 3.34-3.48
Na4 0.8290 0.6710 0.0000  6 Bi 3.34-3.48
Bi1 0.1308 0.6308 0.5000  1 Bi 3.07, 2 Te 3.25, 2 Na 3.34
Bi2 0.3692 0.1308 0.5000  1 Bi 3.07, 2 Te 3.25, 2 Na 3.34
Bi3 0.6308 0.8692 0.5000  1 Bi 3.07, 2 Te 3.25, 2 Na 3.34
Bi4 0.8692 0.3692 0.5000  1 Bi 3.07, 2 Te 3.25, 2 Na 3.34
Te1 0.0000 0.0000 0.5000  4 Bi 3.25
Te2 0.5000 0.5000 0.5000  4 Bi 3.25

Calculated values
space group	P4/mbm (127)
D(E_F)	5.7	states/eV/cell

=====

three has the most favorable energy; the next structure is 62 meV/atom above.

=====

one:
Computed, not measured: a relaxed structure of Na2BiTe2 at the GGA-PBE level of DFT.

a = 9.1840 Å, b = 9.1840 Å, c = 8.1819 Å
α = 90.00°, β = 90.00°, γ = 152.07°
Closest atoms and distances in Å follow each position.
Sites, in units of the cell vectors:
Na1 0.0393 0.9607 0.5000  5 Te 3.11-3.33, 1 Na 3.24
Na2 0.1720 0.8280 0.2286  5 Te 3.14-3.20, 1 Na 3.24
Na3 0.8280 0.1720 0.7286  5 Te 3.14-3.20, 1 Na 3.24
Na4 0.9607 0.0393 0.0000  5 Te 3.11-3.33, 1 Na 3.24
Bi1 0.3576 0.6424 0.3902  2 Te 3.05-3.07
Bi2 0.6424 0.3576 0.8902  2 Te 3.05-3.07
Te1 0.2171 0.7829 0.6039  1 Bi 3.05, 4 Na 3.14-3.28
Te2 0.4566 0.5434 0.6970  1 Bi 3.07, 6 Na 3.11-3.33
Te3 0.5434 0.4566 0.1970  1 Bi 3.07, 6 Na 3.11-3.33
Te4 0.7829 0.2171 0.1039  1 Bi 3.05, 4 Na 3.14-3.28

Calculated values
space group	Cmc2_1 (36)
D(E_F)	2.3	states/eV/cell

=====

two:
Computed, not measured: a relaxed structure of Na2BiTe2 at the GGA-PBE level of DFT.

a = 8.5468 Å, b = 8.5468 Å, c = 4.2391 Å
α = 90.00°, β = 90.00°, γ = 90.00°
Closest atoms and distances in Å follow each position.
Sites, in units of the cell vectors:
Na1 0.1348 0.3652 0.0000  6 Te 3.16-3.38, 1 Na 3.26
Na2 0.3652 0.8652 0.0000  6 Te 3.16-3.38, 1 Na 3.26
Na3 0.6348 0.1348 0.0000  6 Te 3.16-3.38, 1 Na 3.26
Na4 0.8652 0.6348 0.0000  6 Te 3.16-3.38, 1 Na 3.26
Bi1 0.0000 0.0000 0.5000  4 Te 3.17
Bi2 0.5000 0.5000 0.5000  4 Te 3.17
Te1 0.1710 0.6710 0.5000  6 Na 3.16-3.38, 2 Bi 3.17
Te2 0.3290 0.1710 0.5000  6 Na 3.16-3.38, 2 Bi 3.17
Te3 0.6710 0.8290 0.5000  6 Na 3.16-3.38, 2 Bi 3.17
Te4 0.8290 0.3290 0.5000  6 Na 3.16-3.38, 2 Bi 3.17

Calculated values
space group	P4/mbm (127)
D(E_F)	1.5	states/eV/cell

=====

three:
Computed, not measured: a relaxed structure of Na2BiTe2 at the GGA-PBE level of DFT.

a = 8.4754 Å, b = 8.4754 Å, c = 8.4754 Å
α = 149.86°, β = 149.86°, γ = 43.15°
Closest atoms and distances in Å follow each position.
Sites, in units of the cell vectors:
Na1 0.2500 0.7500 0.5000  4 Te 3.11, 4 Na 3.12
Na2 0.7500 0.2500 0.5000  4 Te 3.11, 4 Na 3.12
Bi1 0.0000 0.0000 0.0000  8 Te 3.57
Te1 0.3893 0.3893 0.0000  4 Na 3.11
Te2 0.6107 0.6107 0.0000  4 Na 3.11

Calculated values
space group	I4/mmm (139)
D(E_F)	4.0	states/eV/cell

=====

two has the most favorable energy; the next structure is 13 meV/atom above.